# LiScTe

A relaxed structure of LiScTe (PBEsol, Alexandria via LeMat-Bulk).

Calculated values
- Formation energy from raw total energies: -0.356 eV per atom
- E_tot: -4.39 eV/atom
- Excess energy over the best structure of this formula in the dataset: 0.63 eV/f.u.

Cell: 6.6339 6.6339 6.6339 Å, 90.00 90.00 90.00°
Space group F-43m (No. 216)
Symmetry-distinct sites (fractional):
1 Li 0.0000 0.0000 0.0000 (multiplicity 4)
2 Sc 0.2500 0.2500 0.7500 (multiplicity 4)
3 Te 0.0000 0.0000 0.5000 (multiplicity 4)



# AlOs2Pt

A relaxed structure of AlOs2Pt (PBEsol, Alexandria via LeMat-Bulk).

Calculated values
- E_tot: -8.83 eV/atom
- Energy of formation from the pure elements: 0.04 eV/atom

Cell: 2.7449 2.7449 7.4683 Å, 90.00 90.00 90.00°
Space group P4/mmm (No. 123)
Symmetry-distinct sites (fractional):
1 Al 0.0000 0.0000 0.0000 (multiplicity 1)
2 Os 0.5000 0.5000 0.2423 (multiplicity 2)
3 Pt 0.0000 0.0000 0.5000 (multiplicity 1)



# MgW2Cl

A relaxed structure of MgW2Cl (PBEsol, Alexandria via LeMat-Bulk).

Calculated values
- Formation energy from raw total energies: 0.683 eV per atom
- E_tot: -7.15 eV/atom
- Excess energy over the best structure of this formula in the dataset: 1.96 eV/f.u.

Cell: 5.2628 10.6655 3.0019 Å, 90.00 124.32 90.00°
Space group C2/m (No. 12)
Symmetry-distinct sites (fractional):
1 Mg 0.0000 0.0000 0.0000 (multiplicity 2)
2 W 0.2500 0.2500 0.5000 (multiplicity 4)
3 Cl 0.0000 0.5000 0.0000 (multiplicity 2)



# Pm2IrRh

A relaxed structure of Pm2IrRh (PBEsol, Alexandria via LeMat-Bulk).

Calculated values
- E_tot: -7.67 eV/atom
- Energy of formation from the pure elements: -0.61 eV/atom

Cell: 6.9246 6.9246 6.9246 Å, 90.00 90.00 90.00°
Space group Fm-3m (No. 225)
Symmetry-distinct sites (fractional):
1 Pm 0.2500 0.2500 0.2500 (multiplicity 8)
2 Ir 0.0000 0.0000 0.0000 (multiplicity 4)
3 Rh 0.0000 0.0000 0.5000 (multiplicity 4)



# CuSbPd2Br

A relaxed structure of CuSbPd2Br (PBEsol, Alexandria via LeMat-Bulk).

Calculated values
- Formation energy from raw total energies: 0.591 eV per atom
- E_tot: -3.95 eV/atom

Cell: 4.9846 4.9846 4.7271 Å, 90.00 90.00 90.00°
Space group P4/mmm (No. 123)
Symmetry-distinct sites (fractional):
1 Cu 0.0000 0.0000 0.0000 (multiplicity 1)
2 Sb 0.0000 0.0000 0.5000 (multiplicity 1)
3 Pd 0.0000 0.5000 0.5000 (multiplicity 2)
4 Br 0.5000 0.5000 0.0000 (multiplicity 1)



# Al2ZnPt

A relaxed structure of Al2ZnPt (PBEsol, Alexandria via LeMat-Bulk).

Calculated values
- E_tot: -4.65 eV/atom
- Energy of formation from the pure elements: -0.47 eV/atom

Cell: 3.3728 3.3728 5.2093 Å, 90.00 90.00 90.00°
Space group P4mm (No. 99)
Symmetry-distinct sites (fractional):
1 Al 0.0000 0.0000 0.0000 (multiplicity 1)
2 Al 0.5000 0.5000 0.2853 (multiplicity 1)
3 Zn 0.5000 0.5000 0.7761 (multiplicity 1)
4 Pt 0.0000 0.0000 0.4969 (multiplicity 1)



# LaTaMo2

A relaxed structure of LaTaMo2 (PBEsol, Alexandria via LeMat-Bulk).

Calculated values
- E_tot: -9.80 eV/atom
- Energy of formation from the pure elements: 0.56 eV/atom
- Excess energy over the best structure of this formula in the dataset: 0.87 eV/f.u.

Cell: 3.1300 3.1300 26.9810 Å, 90.00 90.00 120.00°
Space group R-3m (No. 166, hexagonal axes)
Symmetry-distinct sites (fractional):
1 La 0.0000 0.0000 0.0000 (multiplicity 3)
2 Ta 0.0000 0.0000 0.5000 (multiplicity 3)
3 Mo 0.0000 0.0000 0.2406 (multiplicity 6)



# P2Ir2Pb

A relaxed structure of P2Ir2Pb (PBEsol, Alexandria via LeMat-Bulk).

Calculated values
- E_tot: -7.19 eV/atom
- Energy of formation from the pure elements: -0.15 eV/atom

Cell: 4.2359 4.2359 9.6738 Å, 90.00 90.00 90.00°
Space group I4/mmm (No. 139)
Symmetry-distinct sites (fractional):
1 P 0.0000 0.5000 0.2500 (multiplicity 4)
2 Ir 0.0000 0.0000 0.1426 (multiplicity 4)
3 Pb 0.0000 0.0000 0.5000 (multiplicity 2)



Question: Which value of E_tot does entry 4 give?
Answer: -7.67 eV/atom